(1)
The following is a GGA-PBEsol calculation of an optimized crystal structure of CsCaIr2, from Alexandria via LeMat-Bulk.

## Properties
Calculated total energy (eV for the cell shown): -72.690
Total magnetic moment (μB per cell): 0.008
Crystal system: cubic
Space-group type: Fm-3m
DFT formation energy (eV/atom): 1.1375

Cell lengths 6.9979, 6.9979, 6.9979 Å; angles 90.00, 90.00, 90.00 degrees
Positions (direct):
Cs (0.0000, 0.0000, 0.0000)
Cs (0.0000, 0.5000, 0.5000)
Cs (0.5000, 0.0000, 0.5000)
Cs (0.5000, 0.5000, 0.0000)
Ca (0.0000, 0.0000, 0.5000)
Ca (0.0000, 0.5000, 0.0000)
Ca (0.5000, 0.0000, 0.0000)
Ca (0.5000, 0.5000, 0.5000)
Ir (0.2500, 0.2500, 0.2500)
Ir (0.2500, 0.2500, 0.7500)
Ir (0.2500, 0.7500, 0.2500)
Ir (0.2500, 0.7500, 0.7500)
Ir (0.7500, 0.2500, 0.2500)
Ir (0.7500, 0.2500, 0.7500)
Ir (0.7500, 0.7500, 0.2500)
Ir (0.7500, 0.7500, 0.7500)

(2)
The following is a GGA-PBEsol calculation of an optimized crystal structure of CsCa3Ir, from Alexandria via LeMat-Bulk.

## Properties
Calculated total energy (eV for the cell shown): -8.382
Total magnetic moment (μB per cell): 0.020
Crystal system: cubic
Space-group type: Pm-3m
DFT formation energy (eV/atom): 1.7568

Cell lengths 5.4292, 5.4292, 5.4292 Å; angles 90.00, 90.00, 90.00 degrees
Positions (direct):
Cs (0.0000, 0.0000, 0.0000)
Ca (0.0000, 0.0000, 0.5000)
Ca (0.0000, 0.5000, 0.0000)
Ca (0.5000, 0.0000, 0.0000)
Ir (0.5000, 0.5000, 0.5000)

(3)
The following is a GGA-PBEsol calculation of an optimized crystal structure of CsCaMoIr2, from Alexandria via LeMat-Bulk.

## Properties
Calculated total energy (eV for the cell shown): -20.968
Total magnetic moment (μB per cell): 4.150
Crystal system: tetragonal
Space-group type: P4/mmm
DFT formation energy (eV/atom): 2.7044

Cell lengths 4.9759, 4.9759, 5.1836 Å; angles 90.00, 90.00, 90.00 degrees
Positions (direct):
Cs (0.0000, 0.0000, 0.0000)
Ca (0.0000, 0.0000, 0.5000)
Mo (0.5000, 0.5000, 0.5000)
Ir (0.0000, 0.5000, 0.0000)
Ir (0.5000, 0.0000, 0.0000)